[1]
The following is a PBE-GGA calculation of a relaxed CuReIr crystal, from the Alexandria database.

E above lowest polymorph: 436.4 meV per atom
Total magnetic moment: 0.00 μB/atom
E_form: 0.465 eV/atom
Crystal system: cubic
V: 16.5 Å³ per atom

Cell lengths 4.1222, 4.1222, 4.1222 Å; angles 60.00, 60.00, 60.00 degrees
Closest atoms and distances in Å follow each position.
Fractional coordinates of all 3 atoms:
Cu 0.0000 0.0000 0.0000  4 Ir 2.52
Re 0.5000 0.5000 0.5000  4 Ir 2.52
Ir 0.2500 0.2500 0.2500  4 Re 2.52, 4 Cu 2.52

[2]
The following is a PBE-GGA calculation of a relaxed CuReIr2S crystal, from the Alexandria database.

Total magnetic moment: 0.00 μB/atom
Total DFT energy (no corrections): -5.86 eV per atom
Crystal system: tetragonal
V: 20.8 Å³ per atom

Cell lengths 4.7316, 4.7316, 4.6453 Å; angles 90.00, 90.00, 90.00 degrees
Closest atoms and distances in Å follow each position.
Fractional coordinates of all 5 atoms:
Cu 0.0000 0.0000 0.0000  2 Re 2.32
Re 0.0000 0.0000 0.5000  2 Cu 2.32, 4 Ir 2.37
Ir 0.0000 0.5000 0.5000  2 Re 2.37
Ir 0.5000 0.0000 0.5000  2 Re 2.37
S 0.5000 0.5000 0.0000  8 Ir 3.32, 4 Cu 3.35

[3]
The following is a PBE-GGA calculation of a relaxed CuReSb2Ir crystal, from the Alexandria database.

Total magnetic moment: 0.38 μB/atom
Total DFT energy (no corrections): -5.26 eV per atom
Crystal system: tetragonal
V: 25.6 Å³ per atom

Cell lengths 5.1152, 5.1152, 4.8846 Å; angles 90.00, 90.00, 90.00 degrees
Closest atoms and distances in Å follow each position.
Fractional coordinates of all 5 atoms:
Cu 0.0000 0.0000 0.0000  8 Sb 3.54, 4 Re 3.62
Re 0.5000 0.5000 0.0000  2 Ir 2.44
Sb 0.0000 0.5000 0.5000  2 Ir 2.56
Sb 0.5000 0.0000 0.5000  2 Ir 2.56
Ir 0.5000 0.5000 0.5000  2 Re 2.44, 4 Sb 2.56

[4]
The following is a PBE-GGA calculation of a relaxed Cu2IrRh crystal, from the Alexandria database.

E above lowest polymorph: 152.7 meV per atom
Total magnetic moment: 0.18 μB/atom
E_form: 0.201 eV/atom
Crystal system: orthorhombic
V: 13.4 Å³ per atom

Cell lengths 2.6654, 3.7496, 5.3543 Å; angles 90.00, 90.00, 90.00 degrees
Closest atoms and distances in Å follow each position.
Fractional coordinates of all 4 atoms:
Cu 0.0000 0.0000 0.2483  4 Ir 2.66, 4 Cu 2.66-2.69, 4 Rh 2.67
Cu 0.0000 0.0000 0.7517  4 Ir 2.66, 4 Cu 2.66-2.69, 4 Rh 2.67
Ir 0.5000 0.5000 0.0000  8 Cu 2.66, 2 Ir 2.67, 2 Rh 2.68
Rh 0.5000 0.5000 0.5000  2 Rh 2.67, 8 Cu 2.67, 2 Ir 2.68